Entry 1:
The following is a GGA-PBE calculation of a relaxed CuGeB crystal, from Alexandria via LeMat-Bulk.

Cell and atoms, written as CIF:
```
data_CuGeB
_chemical_formula_sum 'Cu4 Ge4 B4'
_cell_length_a 10.608
_cell_length_b 3.011
_cell_length_c 5.693
_cell_angle_alpha 90.00
_cell_angle_beta 117.76
_cell_angle_gamma 90.00
_symmetry_space_group_name_H-M 'C 1 m 1'
_symmetry_Int_Tables_number 8
loop_
_symmetry_equiv_pos_as_xyz
'x,y,z'
'x,-y,z'
'x+1/2,y+1/2,z'
'x+1/2,-y+1/2,z'
loop_
_atom_site_label
_atom_site_fract_x
_atom_site_fract_y
_atom_site_fract_z
Cu1 0.000 0.000 0.000
Cu2 0.109 0.000 0.500
Ge1 0.298 0.000 0.968
Ge2 0.451 0.000 0.598
B1 0.172 0.500 0.277
B2 0.232 0.000 0.285
```

Results
formation energy = 0.32 eV/atom

***

Entry 2:
The following is a GGA-PBE calculation of a relaxed CuGeB crystal, from Alexandria via LeMat-Bulk.

Cell and atoms, written as CIF:
```
data_CuGeB
_chemical_formula_sum 'Cu2 Ge2 B2'
_cell_length_a 3.636
_cell_length_b 4.093
_cell_length_c 5.521
_cell_angle_alpha 79.28
_cell_angle_beta 84.12
_cell_angle_gamma 88.08
_symmetry_space_group_name_H-M 'P -1'
_symmetry_Int_Tables_number 2
loop_
_symmetry_equiv_pos_as_xyz
'x,y,z'
'-x,-y,-z'
loop_
_atom_site_label
_atom_site_fract_x
_atom_site_fract_y
_atom_site_fract_z
Cu1 0.179 0.163 0.303
Ge1 0.435 0.293 0.841
B1 0.026 0.649 0.368
```

Results
formation energy = 0.25 eV/atom

***

Entry 3:
The following is a GGA-PBE calculation of a relaxed CuGeB crystal, from Alexandria via LeMat-Bulk.

Cell and atoms, written as CIF:
```
data_CuGeB
_chemical_formula_sum 'Cu4 Ge4 B4'
_cell_length_a 10.617
_cell_length_b 3.047
_cell_length_c 5.875
_cell_angle_alpha 90.00
_cell_angle_beta 121.52
_cell_angle_gamma 90.00
_symmetry_space_group_name_H-M 'C 1 m 1'
_symmetry_Int_Tables_number 8
loop_
_symmetry_equiv_pos_as_xyz
'x,y,z'
'x,-y,z'
'x+1/2,y+1/2,z'
'x+1/2,-y+1/2,z'
loop_
_atom_site_label
_atom_site_fract_x
_atom_site_fract_y
_atom_site_fract_z
Cu1 0.000 0.000 0.000
Cu2 0.025 0.500 0.692
Ge1 0.244 0.500 0.633
Ge2 0.400 0.500 0.291
B1 0.170 0.500 0.178
B2 0.226 0.000 0.315
```

Results
formation energy = 0.36 eV/atom

***

Entry 4:
The following is a GGA-PBE calculation of a relaxed CuGeB crystal, from Alexandria via LeMat-Bulk.

Cell and atoms, written as CIF:
```
data_CuGeB
_chemical_formula_sum 'Cu2 Ge2 B2'
_cell_length_a 3.863
_cell_length_b 4.865
_cell_length_c 4.979
_cell_angle_alpha 70.39
_cell_angle_beta 67.29
_cell_angle_gamma 89.92
_symmetry_space_group_name_H-M 'P 1'
_symmetry_Int_Tables_number 1
loop_
_symmetry_equiv_pos_as_xyz
'x,y,z'
loop_
_atom_site_label
_atom_site_fract_x
_atom_site_fract_y
_atom_site_fract_z
Cu1 0.000 0.000 0.000
Cu2 0.318 0.500 0.001
Ge1 0.031 0.734 0.625
Ge2 0.656 0.266 0.375
B1 0.411 0.039 0.168
B2 0.578 0.960 0.832
```

Results
formation energy = 0.38 eV/atom

***

Entry 5:
The following is a GGA-PBE calculation of a relaxed CuGeB crystal, from Alexandria via LeMat-Bulk.

Cell and atoms, written as CIF:
```
data_CuGeB
_chemical_formula_sum 'Cu2 Ge2 B2'
_cell_length_a 3.5114
_cell_length_b 3.5114
_cell_length_c 7.3978
_cell_angle_alpha 90.00
_cell_angle_beta 90.00
_cell_angle_gamma 120.00
_symmetry_space_group_name_H-M 'P 63/m m c'
_symmetry_Int_Tables_number 194
_symmetry_space_group_name_Hall '-P 6c 2c'
loop_
_atom_site_label
_atom_site_fract_x
_atom_site_fract_y
_atom_site_fract_z
Cu1 0.0000 0.0000 0.0000
Ge1 0.3333 0.6667 0.2500
B1 0.3333 0.6667 0.7500
```

Results
formation energy = 0.65 eV/atom

***

Entry 6:
The following is a GGA-PBE calculation of a relaxed CuGeB crystal, from Alexandria via LeMat-Bulk.

Cell and atoms, written as CIF:
```
data_CuGeB
_chemical_formula_sum 'Cu2 Ge2 B2'
_cell_length_a 3.6767
_cell_length_b 3.6767
_cell_length_c 7.5932
_cell_angle_alpha 90.00
_cell_angle_beta 90.00
_cell_angle_gamma 120.00
_symmetry_space_group_name_H-M 'P 63/m m c'
_symmetry_Int_Tables_number 194
_symmetry_space_group_name_Hall '-P 6c 2c'
loop_
_atom_site_label
_atom_site_fract_x
_atom_site_fract_y
_atom_site_fract_z
Cu1 0.3333 0.6667 0.2500
Ge1 0.0000 0.0000 0.0000
B1 0.0000 0.0000 0.2500
```

Results
formation energy = 0.75 eV/atom

***

Entry 7:
The following is a GGA-PBE calculation of a relaxed CuGe2B crystal, from Alexandria via LeMat-Bulk.

Cell and atoms, written as CIF:
```
data_CuGe2B
_chemical_formula_sum 'Cu4 Ge8 B4'
_cell_length_a 5.505
_cell_length_b 5.505
_cell_length_c 8.842
_cell_angle_alpha 90.00
_cell_angle_beta 90.00
_cell_angle_gamma 90.00
_symmetry_space_group_name_H-M 'I -4 2 d'
_symmetry_Int_Tables_number 122
_symmetry_space_group_name_Hall 'I -4 2bw'
loop_
_atom_site_label
_atom_site_fract_x
_atom_site_fract_y
_atom_site_fract_z
Cu1 0.000 0.000 0.000
Ge1 0.195 0.250 0.625
B1 0.000 0.000 0.500
```

Results
formation energy = 0.46 eV/atom

***

Entry 8:
The following is a GGA-PBE calculation of a relaxed CuGeB crystal, from Alexandria via LeMat-Bulk.

Cell and atoms, written as CIF:
```
data_CuGeB
_chemical_formula_sum 'Cu4 Ge4 B4'
_cell_length_a 5.860
_cell_length_b 3.183
_cell_length_c 9.049
_cell_angle_alpha 90.00
_cell_angle_beta 90.00
_cell_angle_gamma 90.00
_symmetry_space_group_name_H-M 'P n m a'
_symmetry_Int_Tables_number 62
loop_
_symmetry_equiv_pos_as_xyz
'x,y,z'
'-x,-y,-z'
'-x+1/2,-y,z+1/2'
'x+1/2,y,-z+1/2'
'x+1/2,-y+1/2,-z+1/2'
'-x+1/2,y+1/2,z+1/2'
'-x,y+1/2,-z'
'x,-y+1/2,z'
loop_
_atom_site_label
_atom_site_fract_x
_atom_site_fract_y
_atom_site_fract_z
Cu1 0.157 0.250 0.061
Ge1 0.225 0.750 0.827
B1 0.000 0.000 0.500
```

Results
formation energy = 0.38 eV/atom

***

Entry 9:
The following is a GGA-PBE calculation of a relaxed CuGeB crystal, from Alexandria via LeMat-Bulk.

Cell and atoms, written as CIF:
```
data_CuGeB
_chemical_formula_sum 'Cu2 Ge2 B2'
_cell_length_a 3.927
_cell_length_b 4.826
_cell_length_c 5.134
_cell_angle_alpha 107.79
_cell_angle_beta 106.37
_cell_angle_gamma 104.09
_symmetry_space_group_name_H-M 'P -1'
_symmetry_Int_Tables_number 2
loop_
_symmetry_equiv_pos_as_xyz
'x,y,z'
'-x,-y,-z'
loop_
_atom_site_label
_atom_site_fract_x
_atom_site_fract_y
_atom_site_fract_z
Cu1 0.000 0.000 0.000
Cu2 0.500 0.000 0.500
Ge1 0.195 0.362 0.724
B1 0.466 0.841 0.037
```

Results
formation energy = 0.35 eV/atom

***

Entry 10:
The following is a GGA-PBE calculation of a relaxed CuGeB crystal, from Alexandria via LeMat-Bulk.

Cell and atoms, written as CIF:
```
data_CuGeB
_chemical_formula_sum 'Cu2 Ge2 B2'
_cell_length_a 3.625
_cell_length_b 4.024
_cell_length_c 5.775
_cell_angle_alpha 74.72
_cell_angle_beta 89.69
_cell_angle_gamma 89.77
_symmetry_space_group_name_H-M 'P 1'
_symmetry_Int_Tables_number 1
loop_
_symmetry_equiv_pos_as_xyz
'x,y,z'
loop_
_atom_site_label
_atom_site_fract_x
_atom_site_fract_y
_atom_site_fract_z
Cu1 0.000 0.000 0.000
Cu2 0.000 0.499 0.501
Ge1 0.499 0.305 0.199
Ge2 0.500 0.693 0.803
B1 0.000 0.919 0.652
B2 0.999 0.078 0.349
```

Results
formation energy = 0.28 eV/atom

***

Entry 11:
The following is a GGA-PBE calculation of a relaxed CuGeB crystal, from Alexandria via LeMat-Bulk.

Cell and atoms, written as CIF:
```
data_CuGeB
_chemical_formula_sum 'Cu2 Ge2 B2'
_cell_length_a 3.043
_cell_length_b 4.512
_cell_length_c 6.033
_cell_angle_alpha 88.29
_cell_angle_beta 75.67
_cell_angle_gamma 89.41
_symmetry_space_group_name_H-M 'P 1'
_symmetry_Int_Tables_number 1
loop_
_symmetry_equiv_pos_as_xyz
'x,y,z'
loop_
_atom_site_label
_atom_site_fract_x
_atom_site_fract_y
_atom_site_fract_z
Cu1 0.000 0.000 0.000
Cu2 0.188 0.607 0.657
Ge1 0.378 0.672 0.248
Ge2 0.706 0.101 0.607
B1 0.534 0.361 0.934
B2 0.998 0.490 0.005
```

Results
formation energy = 0.31 eV/atom

***

Entry 12:
The following is a GGA-PBE calculation of a relaxed Cu3GeB crystal, from Alexandria via LeMat-Bulk.

Cell and atoms, written as CIF:
```
data_Cu3GeB
_chemical_formula_sum 'Cu3 Ge1 B1'
_cell_length_a 4.027
_cell_length_b 4.027
_cell_length_c 4.027
_cell_angle_alpha 90.00
_cell_angle_beta 90.00
_cell_angle_gamma 90.00
_symmetry_space_group_name_H-M 'P m -3 m'
_symmetry_Int_Tables_number 221
_symmetry_space_group_name_Hall '-P 4 2 3'
loop_
_atom_site_label
_atom_site_fract_x
_atom_site_fract_y
_atom_site_fract_z
Cu1 0.000 0.000 0.500
Ge1 0.500 0.500 0.500
B1 0.000 0.000 0.000
```

Results
relative energy among the computed polymorphs = 0.000 eV per atom
formation energy = 0.32 eV/atom